Computed, not measured: a geometry-optimized Pr12Ho5Tl2 structure at the PBE level of DFT.

energy relative to the elements: 0.216 eV/f.u.
calculated total energy: -84.76 eV/f.u.

abc: 9.4815 9.1334 8.7178
angles: 92.84 90.00 121.27
With the nearest neighbours (Å) after each atom.
Sites, in units of the cell vectors:
Pr 0.9163 0.8326 0.1153  5 Pr 3.39-3.61, 2 Tl 3.47, 3 Ho 3.53-3.69
Pr 0.0342 0.6981 0.7667  1 Tl 3.28, 4 Pr 3.43-3.61, 1 Ho 3.64
Pr 0.6639 0.6981 0.7667  1 Tl 3.28, 4 Pr 3.43-3.61, 1 Ho 3.64
Pr 0.1814 0.7525 0.3438  5 Pr 3.40-3.69, 4 Ho 3.42-3.70, 1 Tl 3.66
Pr 0.5711 0.7525 0.3438  5 Pr 3.40-3.69, 4 Ho 3.42-3.70, 1 Tl 3.66
Pr 0.4425 0.8850 0.6807  2 Ho 3.34-3.47, 2 Tl 3.35, 7 Pr 3.40-3.72
Pr 0.5575 0.1150 0.3193  2 Ho 3.34-3.47, 2 Tl 3.35, 7 Pr 3.40-3.72
Pr 0.8186 0.2475 0.6562  5 Pr 3.40-3.69, 4 Ho 3.42-3.70, 1 Tl 3.66
Pr 0.4289 0.2475 0.6562  5 Pr 3.40-3.69, 4 Ho 3.42-3.70, 1 Tl 3.66
Pr 0.9658 0.3019 0.2333  1 Tl 3.28, 4 Pr 3.43-3.61, 1 Ho 3.64
Pr 0.3361 0.3019 0.2333  1 Tl 3.28, 4 Pr 3.43-3.61, 1 Ho 3.64
Pr 0.0837 0.1674 0.8847  5 Pr 3.39-3.61, 2 Tl 3.47, 3 Ho 3.53-3.69
Ho 0.2319 0.4637 0.5860  8 Pr 3.34-3.70, 2 Ho 3.65-3.72
Ho 0.3153 0.6306 0.9945  2 Tl 3.35, 6 Pr 3.47-3.69, 1 Ho 3.72
Ho 0.0000 0.0000 0.5000  10 Pr 3.53-3.83, 2 Ho 3.65
Ho 0.6847 0.3694 0.0055  2 Tl 3.35, 6 Pr 3.47-3.69, 1 Ho 3.72
Ho 0.7681 0.5363 0.4140  8 Pr 3.34-3.70, 2 Ho 3.65-3.72
Tl 0.6807 0.0000 0.0000  8 Pr 3.28-3.66, 2 Ho 3.35, 1 Tl 3.43
Tl 0.3193 0.0000 0.0000  8 Pr 3.28-3.66, 2 Ho 3.35, 1 Tl 3.43


Computed, not measured: a geometry-optimized PrHoTl structure at the PBE level of DFT.

energy relative to the elements: -0.737 eV/f.u.
calculated total energy: -12.46 eV/f.u.
excess energy over the best structure of this formula in the dataset: 11 meV per atom

abc: 4.7536 4.7543 8.4013
angles: 90.00 90.00 90.00
With the nearest neighbours (Å) after each atom.
Sites, in units of the cell vectors:
Pr 0.8136 0.8665 0.5673  5 Tl 3.25-3.45
Pr 0.3136 0.3665 0.2719  5 Tl 3.25-3.45
Ho 0.8136 0.3665 0.9196  4 Tl 3.24, 4 Ho 3.36
Ho 0.3136 0.8665 0.9196  4 Tl 3.24, 4 Ho 3.36
Tl 0.8137 0.8665 0.1809  4 Ho 3.24, 5 Pr 3.25-3.45
Tl 0.3135 0.3664 0.6583  4 Ho 3.24, 5 Pr 3.25-3.45


Computed, not measured: a geometry-optimized Pr3Ho2Tl structure at the PBE level of DFT.

energy relative to the elements: -0.603 eV/f.u.
calculated total energy: -26.46 eV/f.u.
excess energy over the best structure of this formula in the dataset: 0 meV per atom

abc: 7.2333 6.6454 13.3537
angles: 92.41 124.44 122.57
With the nearest neighbours (Å) after each atom.
Sites, in units of the cell vectors:
Pr 0.3397 0.9964 0.7396  5 Pr 3.45-3.56, 4 Ho 3.51-3.62, 2 Tl 3.54-3.69
Pr 0.6603 0.0036 0.2604  5 Pr 3.45-3.56, 4 Ho 3.51-3.62, 2 Tl 3.54-3.69
Pr 0.9376 0.7253 0.9395  2 Tl 3.32-3.65, 4 Pr 3.33-3.57, 4 Ho 3.49-3.72
Pr 0.1847 0.3975 0.6197  2 Tl 3.45-3.59, 5 Pr 3.45-3.72, 3 Ho 3.57-3.63
Pr 0.8153 0.6025 0.3803  2 Tl 3.45-3.59, 5 Pr 3.45-3.72, 3 Ho 3.57-3.63
Pr 0.0624 0.2747 0.0605  2 Tl 3.32-3.65, 4 Pr 3.33-3.57, 4 Ho 3.49-3.72
Ho 0.3668 0.6597 0.4025  2 Tl 3.17-3.42
Ho 0.3769 0.6554 0.9344  1 Tl 3.20, 1 Ho 3.35, 5 Pr 3.49-3.57
Ho 0.6231 0.3446 0.0656  1 Tl 3.20, 1 Ho 3.35, 5 Pr 3.49-3.57
Ho 0.6332 0.3403 0.5975  2 Tl 3.17-3.42
Tl 0.1538 0.9988 0.2664  3 Ho 3.17-3.42, 3 Pr 3.32-3.54
Tl 0.8462 0.0012 0.7336  3 Ho 3.17-3.42, 3 Pr 3.32-3.54


Computed, not measured: a geometry-optimized PrHo9Tl2 structure at the PBE level of DFT.

energy relative to the elements: -1.178 eV/f.u.
calculated total energy: -51.89 eV/f.u.

abc: 4.8607 4.8607 15.0324
angles: 90.00 90.00 90.00
With the nearest neighbours (Å) after each atom.
Sites, in units of the cell vectors:
Pr 0.0000 0.0000 0.0000  12 Ho 3.44-3.58
Ho 0.5000 0.5000 0.0000  4 Pr 3.44, 8 Ho 3.58
Ho 0.5000 0.5000 0.3391  8 Ho 3.43-3.47, 4 Tl 3.44
Ho 0.5000 0.5000 0.6609  8 Ho 3.43-3.47, 4 Tl 3.44
Ho 0.5000 0.0000 0.1746  8 Ho 3.44-3.58, 2 Tl 3.48, 2 Pr 3.58
Ho 0.5000 0.0000 0.5000  4 Tl 3.42, 8 Ho 3.43-3.44
Ho 0.5000 0.0000 0.8254  8 Ho 3.44-3.58, 2 Tl 3.48, 2 Pr 3.58
Ho 0.0000 0.5000 0.1746  8 Ho 3.44-3.58, 2 Tl 3.48, 2 Pr 3.58
Ho 0.0000 0.5000 0.5000  4 Tl 3.42, 8 Ho 3.43-3.44
Ho 0.0000 0.5000 0.8254  8 Ho 3.44-3.58, 2 Tl 3.48, 2 Pr 3.58
Tl 0.0000 0.0000 0.3400  12 Ho 3.42-3.48
Tl 0.0000 0.0000 0.6600  12 Ho 3.42-3.48


Computed, not measured: a geometry-optimized Pr2Ho5Tl3 structure at the PBE level of DFT.

energy relative to the elements: -0.500 eV/f.u.
calculated total energy: -40.05 eV/f.u.

abc: 6.7238 10.4082 10.4082
angles: 92.08 71.16 71.16
With the nearest neighbours (Å) after each atom.
Sites, in units of the cell vectors:
Pr 0.1476 0.5577 0.1471  4 Tl 3.49-3.71, 4 Ho 3.50-3.78
Pr 0.6476 0.1471 0.5577  4 Tl 3.49-3.71, 4 Ho 3.50-3.78
Pr 0.8524 0.4423 0.8529  4 Tl 3.49-3.71, 4 Ho 3.50-3.78
Pr 0.3524 0.8529 0.4423  4 Tl 3.49-3.71, 4 Ho 3.50-3.78
Ho 0.4234 0.2370 0.9163  3 Tl 3.01-3.09
Ho 0.9234 0.9163 0.2370  3 Tl 3.01-3.09
Ho 0.5766 0.7630 0.0837  3 Tl 3.01-3.09
Ho 0.0766 0.0837 0.7630  3 Tl 3.01-3.09
Ho 0.4910 0.7590 0.7590  3 Tl 3.08-3.18, 3 Ho 3.31-3.36
Ho 0.5090 0.2410 0.2410  3 Tl 3.08-3.18, 3 Ho 3.31-3.36
Ho 0.7500 0.5000 0.5000  4 Tl 3.24, 4 Ho 3.31-3.36
Ho 0.2500 0.5000 0.5000  4 Tl 3.24, 4 Ho 3.31-3.36
Ho 0.0090 0.2410 0.2410  3 Tl 3.08-3.18, 3 Ho 3.31-3.36
Ho 0.9910 0.7590 0.7590  3 Tl 3.08-3.18, 3 Ho 3.31-3.36
Tl 0.3661 0.4890 0.7788  5 Ho 3.01-3.24
Tl 0.8661 0.7788 0.4890  5 Ho 3.01-3.24
Tl 0.6339 0.5110 0.2212  5 Ho 3.01-3.24
Tl 0.1339 0.2212 0.5110  5 Ho 3.01-3.24
Tl 0.2500 0.0000 0.0000  6 Ho 3.08-3.09, 2 Tl 3.36
Tl 0.7500 0.0000 0.0000  6 Ho 3.08-3.09, 2 Tl 3.36


Computed, not measured: a geometry-optimized PrHo6Tl structure at the PBE level of DFT.

energy relative to the elements: -0.113 eV/f.u.
calculated total energy: -34.73 eV/f.u.
excess energy over the best structure of this formula in the dataset: 0 meV per atom

abc: 5.3241 6.8672 6.8672
angles: 102.84 90.00 90.00
With the nearest neighbours (Å) after each atom.
Sites, in units of the cell vectors:
Pr 0.5000 0.5000 0.5000  12 Ho 3.43-3.62
Ho 0.0000 0.7162 0.2838  8 Ho 3.37-3.56, 2 Pr 3.53
Ho 0.0000 0.2838 0.7162  8 Ho 3.37-3.56, 2 Pr 3.53
Ho 0.0000 0.7856 0.7856  2 Tl 3.23, 4 Ho 3.37-3.56, 2 Pr 3.62
Ho 0.0000 0.2144 0.2144  2 Tl 3.23, 4 Ho 3.37-3.56, 2 Pr 3.62
Ho 0.5000 0.5000 0.0000  2 Tl 3.43, 2 Pr 3.43, 8 Ho 3.44-3.79
Ho 0.5000 0.0000 0.5000  2 Pr 3.43, 2 Tl 3.43, 8 Ho 3.44-3.79
Tl 0.5000 0.0000 0.0000  8 Ho 3.23-3.43


Computed, not measured: a geometry-optimized PrHoTl structure at the PBE level of DFT.

energy relative to the elements: -0.096 eV/f.u.
calculated total energy: -11.82 eV/f.u.
excess energy over the best structure of this formula in the dataset: 224 meV per atom

abc: 5.2825 5.2825 5.2825
angles: 60.00 60.00 60.00
With the nearest neighbours (Å) after each atom.
Sites, in units of the cell vectors:
Pr 0.5000 0.5000 0.5000  4 Tl 3.23
Tl 0.2500 0.2500 0.2500  4 Ho 3.23, 4 Pr 3.23
Ho 0.0000 0.0000 0.0000  4 Tl 3.23


Computed, not measured: a geometry-optimized PrHoTl3 structure at the PBE level of DFT.

energy relative to the elements: -0.745 eV/f.u.
calculated total energy: -17.20 eV/f.u.

abc: 6.5479 7.3982 7.3982
angles: 120.00 90.00 90.00
With the nearest neighbours (Å) after each atom.
Sites, in units of the cell vectors:
Pr 0.2500 0.3335 0.6665  12 Tl 3.70-3.72
Pr 0.7500 0.6665 0.3335  12 Tl 3.70-3.72
Ho 0.0000 0.0000 0.0000  6 Tl 3.03, 2 Ho 3.27
Ho 0.5000 0.0000 0.0000  6 Tl 3.03, 2 Ho 3.27
Tl 0.2500 0.8012 0.1988  2 Tl 2.99, 2 Ho 3.03
Tl 0.7500 0.1988 0.8012  2 Tl 2.99, 2 Ho 3.03
Tl 0.2500 0.8012 0.6027  2 Tl 2.99, 2 Ho 3.03
Tl 0.7500 0.1988 0.3973  2 Tl 2.99, 2 Ho 3.03
Tl 0.2500 0.3973 0.1988  2 Tl 2.99, 2 Ho 3.03
Tl 0.7500 0.6027 0.8012  2 Tl 2.99, 2 Ho 3.03


Computed, not measured: a geometry-optimized Pr3Ho2Tl structure at the PBE level of DFT.

energy relative to the elements: -0.423 eV/f.u.
calculated total energy: -26.28 eV/f.u.
excess energy over the best structure of this formula in the dataset: 30 meV per atom

abc: 6.9131 6.5649 9.3924
angles: 98.31 111.59 90.00
With the nearest neighbours (Å) after each atom.
Sites, in units of the cell vectors:
Pr 0.7704 0.2500 0.0000  4 Tl 3.30-3.55, 2 Ho 3.43, 2 Pr 3.52
Pr 0.2296 0.7500 0.0000  4 Tl 3.30-3.55, 2 Ho 3.43, 2 Pr 3.52
Pr 0.0511 0.0447 0.3384  5 Ho 3.41-3.62, 1 Tl 3.46, 4 Pr 3.49-3.67
Pr 0.7127 0.4553 0.6616  5 Ho 3.41-3.62, 1 Tl 3.46, 4 Pr 3.49-3.67
Pr 0.2873 0.5447 0.3384  5 Ho 3.41-3.62, 1 Tl 3.46, 4 Pr 3.49-3.67
Pr 0.9489 0.9553 0.6616  5 Ho 3.41-3.62, 1 Tl 3.46, 4 Pr 3.49-3.67
Ho 0.7712 0.5704 0.3230  1 Tl 3.31, 6 Pr 3.41-3.62, 2 Ho 3.62
Ho 0.5518 0.0704 0.3230  1 Tl 3.31, 6 Pr 3.41-3.62, 2 Ho 3.62
Ho 0.4482 0.9296 0.6770  1 Tl 3.31, 6 Pr 3.41-3.62, 2 Ho 3.62
Ho 0.2288 0.4296 0.6770  1 Tl 3.31, 6 Pr 3.41-3.62, 2 Ho 3.62
Tl 0.7165 0.7500 0.0000  6 Pr 3.30-3.55, 2 Ho 3.31
Tl 0.2835 0.2500 0.0000  6 Pr 3.30-3.55, 2 Ho 3.31


Computed, not measured: a geometry-optimized Pr7Ho3Tl structure at the PBE level of DFT.

energy relative to the elements: 1.388 eV/f.u.
calculated total energy: -48.17 eV/f.u.

abc: 8.6687 7.1546 7.1546
angles: 120.00 90.00 90.00
With the nearest neighbours (Å) after each atom.
Sites, in units of the cell vectors:
Pr 0.1148 0.1689 0.8311  8 Pr 3.53-3.62, 2 Ho 3.55, 1 Tl 3.65
Pr 0.1148 0.1689 0.3377  8 Pr 3.53-3.62, 2 Ho 3.55, 1 Tl 3.65
Pr 0.1095 0.6667 0.3333  3 Ho 3.52, 9 Pr 3.58-3.60
Pr 0.4519 0.8312 0.1688  2 Ho 3.51, 7 Pr 3.53-3.62, 2 Tl 3.58
Pr 0.4519 0.3375 0.1688  2 Ho 3.51, 7 Pr 3.53-3.62, 2 Tl 3.58
Pr 0.4519 0.8312 0.6625  2 Ho 3.51, 7 Pr 3.53-3.62, 2 Tl 3.58
Pr 0.1148 0.6623 0.8311  8 Pr 3.53-3.62, 2 Ho 3.55, 1 Tl 3.65
Ho 0.7806 0.5005 0.4995  1 Tl 3.44, 5 Pr 3.51-3.55, 4 Ho 3.57-3.59
Ho 0.7806 0.5005 0.0010  1 Tl 3.44, 5 Pr 3.51-3.55, 4 Ho 3.57-3.59
Ho 0.7806 0.9990 0.4995  1 Tl 3.44, 5 Pr 3.51-3.55, 4 Ho 3.57-3.59
Tl 0.4636 0.3333 0.6667  3 Ho 3.44, 9 Pr 3.58-3.65